An optimized crystal structure of TlCd2Br6, computed with PBE.

Lattice parameters (Å, degrees): 9.492 9.492 7.558 98.00 98.00 84.22
Sites, in units of the cell vectors:
Tl (0.128, 0.872, 0.750)
Tl (0.872, 0.128, 0.250)
Cd (0.221, 0.379, 0.721)
Cd (0.379, 0.221, 0.221)
Cd (0.621, 0.779, 0.779)
Cd (0.779, 0.621, 0.279)
Br (0.037, 0.181, 0.634)
Br (0.094, 0.608, 0.897)
Br (0.181, 0.037, 0.134)
Br (0.291, 0.456, 0.423)
Br (0.392, 0.906, 0.603)
Br (0.456, 0.291, 0.923)
Br (0.544, 0.709, 0.077)
Br (0.608, 0.094, 0.397)
Br (0.709, 0.544, 0.577)
Br (0.819, 0.963, 0.866)
Br (0.906, 0.392, 0.103)
Br (0.963, 0.819, 0.366)

## Properties
density of states at the Fermi level = 5.637 states/eV/cell
formation energy without anion corrections = -0.708 eV/atom
M_tot = 0.00 μB per cell
density = 4.5 g/cm3